1.
The following is a PBE-GGA calculation of an optimized crystal structure of Tb3DyTmTh, from Alexandria.

Structure (POSCAR):
```
Tb3DyTmTh
1.0
5.867 0.000 0.000
-2.934 5.523 0.000
0.000 0.000 11.749
Tb Th Tm Dy
6 2 2 2
direct
0.820 0.641 0.250
0.669 0.337 0.998
0.331 0.663 0.002
0.331 0.663 0.498
0.669 0.337 0.502
0.180 0.359 0.750
0.502 0.004 0.750
0.498 0.996 0.250
0.830 0.659 0.750
0.170 0.341 0.250
0.000 0.000 0.500
0.000 0.000 0.000
```

**VASP energy**: -0.3623 Ry per atom
**SG**: Cmcm, No. 63
**DFT formation energy**: 3.106 kcal/mol of atoms

2.
The following is a PBE-GGA calculation of an optimized crystal structure of Sr2SnGe4Au3, from Alexandria.

Structure (POSCAR):
```
Sr2SnGe4Au3
1.0
-4.268 -0.481 -1.600
1.589 -2.522 -3.482
-1.242 -9.160 6.068
Au Ge Sr Sn
3 4 2 1
direct
0.500 0.000 0.874
0.000 0.500 0.126
0.000 0.000 0.500
0.000 0.000 0.000
0.500 0.500 0.000
0.500 0.000 0.644
0.000 0.500 0.356
0.500 0.000 0.239
0.000 0.500 0.761
0.500 0.500 0.500
```

**VASP energy**: -0.2949 Ry per atom
**SG**: P-4m2, No. 115
**DFT formation energy**: -10.265 kcal/mol of atoms

3.
The following is a PBE-GGA calculation of an optimized crystal structure of LaDySi, from Alexandria.

Structure (POSCAR):
```
LaDySi
1.0
-3.008 -5.036 -0.415
3.856 -2.744 5.349
-8.686 4.482 8.560
La Dy Si
6 6 6
direct
0.639 0.952 0.332
0.639 0.952 0.668
0.917 0.598 0.500
0.417 0.402 0.000
0.139 0.048 0.168
0.139 0.048 0.832
0.424 0.435 0.335
0.924 0.565 0.165
0.142 0.082 0.500
0.642 0.918 0.000
0.424 0.435 0.665
0.924 0.565 0.835
0.946 0.308 0.334
0.946 0.308 0.666
0.923 0.280 0.000
0.423 0.720 0.500
0.446 0.692 0.834
0.446 0.692 0.166
```

**VASP energy**: -0.3952 Ry per atom
**SG**: Pmn2_1, No. 31
**Energy above the lowest structure with this stoichiometry**: 110 meV/atom

4.
The following is a PBE-GGA calculation of an optimized crystal structure of CsRuI2, from Alexandria.

Structure (POSCAR):
```
CsRuI2
1.0
0.000 4.148 4.148
4.148 0.000 4.148
4.148 4.148 0.000
I Ru Cs
2 1 1
direct
0.250 0.250 0.250
0.750 0.750 0.750
0.000 0.000 0.000
0.500 0.500 0.500
```

**VASP energy**: -0.2206 Ry per atom
**SG**: Fm-3m, No. 225
**Energy above the lowest structure with this stoichiometry**: 490 meV/atom

5.
The following is a PBE-GGA calculation of an optimized crystal structure of ScTcTe2, from Alexandria.

Structure (POSCAR):
```
ScTcTe2
1.0
4.234 -0.005 0.013
2.121 3.665 0.013
2.100 1.209 5.782
Tc Te Sc
1 2 1
direct
0.250 0.250 0.250
0.988 0.988 0.035
0.512 0.512 0.465
0.750 0.750 0.750
```

**VASP energy**: -0.4438 Ry per atom
**SG**: R-3m, No. 166
**Energy above the lowest structure with this stoichiometry**: 98 meV/atom

6.
The following is a PBE-GGA calculation of an optimized crystal structure of B4C, from Alexandria.

Structure (POSCAR):
```
B4C
1.0
4.245 -0.005 -2.138
3.332 2.629 -2.138
0.000 0.000 6.373
B C
8 2
direct
0.650 0.650 0.679
0.826 0.826 0.279
0.550 0.550 0.371
0.004 0.004 0.011
0.374 0.374 0.771
0.798 0.798 0.535
0.196 0.196 0.039
0.402 0.402 0.515
0.988 0.988 0.235
0.212 0.212 0.815
```

**VASP energy**: -0.4982 Ry per atom
**SG**: C2/m, No. 12
**Energy above the lowest structure with this stoichiometry**: 511 meV/atom
**DFT formation energy**: 9.423 kcal/mol of atoms